Model one:
A plane-wave DFT calculation with PBE was carried out for crystalline CaBeRu at its relaxed geometry.

```
CaBeRu
1.0
5.4431 0.0000 0.0000
4.5085 3.0496 -0.0010
0.9346 0.2872 3.0361
Ru Ca Be
1 1 1
direct
0.3894 0.3894 0.6106
0.6711 0.6711 0.3289
0.9395 0.9395 0.0605
```

Calculated values
**Calculated volume**: 50.4 Å³/f.u.
**Magnetic moment**: 0.0 μB/f.u.

=====

Model two:
A plane-wave DFT calculation with PBE was carried out for crystalline CaBeRu at its relaxed geometry.

```
CaBeRu
1.0
-2.8176 0.3739 2.5591
-0.8209 -0.2281 -3.7285
-0.2761 -4.2950 0.3236
Ru Ca Be
1 1 1
direct
0.3333 0.6667 0.8331
0.6667 0.3333 0.3332
0.0000 0.0000 0.8337
```

Calculated values
**Calculated volume**: 54.7 Å³/f.u.
**Magnetic moment**: 0.0 μB/f.u.

=====

Going by the energies, model one is most stable and the next is 179 meV/atom up.

=====

Model one:
A plane-wave DFT calculation with PBE was carried out for crystalline CaBeRu at its relaxed geometry.

```
CaBeRu
1.0
-1.0079 0.3709 -4.1754
-2.8274 -3.2306 0.3955
-4.2289 3.8681 1.3645
Ca Be Ru
2 2 2
direct
0.0000 0.5000 0.8398
0.5000 0.0000 0.1602
0.0000 0.5000 0.3701
0.5000 0.0000 0.6299
0.5000 0.5000 0.5000
0.0000 0.0000 0.5000
```

Calculated values
**Calculated volume**: 54.8 Å³/f.u.
**Magnetic moment**: 0.0 μB/f.u.

=====

Model two:
A plane-wave DFT calculation with PBE was carried out for crystalline CaBeRu at its relaxed geometry.

```
CaBeRu
1.0
-0.4109 -3.2261 2.9700
3.5139 -1.3477 2.2878
0.3112 0.9107 4.2979
Ru Ca Be
1 1 1
direct
0.0000 0.0000 0.0000
0.7500 0.7500 0.7500
0.5000 0.5000 0.5000
```

Calculated values
**Calculated volume**: 60.4 Å³/f.u.
**Magnetic moment**: 0.0 μB/f.u.

=====

Going by the energies, model one is most stable and the next is 1542 meV/atom up.

=====

Model one:
A plane-wave DFT calculation with PBE was carried out for crystalline CaBe2Ru2 at its relaxed geometry.

```
CaBe2Ru2
1.0
-2.5326 6.7566 -0.0467
-6.7024 -2.5185 -0.8957
-0.3166 -0.1004 2.6514
Ru Ca Be
4 2 4
direct
0.3699 0.8699 0.0000
0.8699 0.6301 0.0000
0.6301 0.1301 0.0000
0.1301 0.3699 0.0000
0.0000 0.0000 0.0000
0.5000 0.5000 0.0000
0.1566 0.6566 0.5000
0.6566 0.8434 0.5000
0.8434 0.3434 0.5000
0.3434 0.1566 0.5000
```

Calculated values
**Calculated volume**: 69.6 Å³/f.u.
**Magnetic moment**: 0.0 μB/f.u.

=====

Model two:
A plane-wave DFT calculation with PBE was carried out for crystalline CaBe2Ru2 at its relaxed geometry.

```
CaBe2Ru2
1.0
-0.8543 -4.9172 -4.2534
-0.8679 -4.1653 4.9896
-3.0724 0.5784 -0.0516
Ru Ca Be
4 2 4
direct
0.1618 0.6618 0.5000
0.6618 0.8382 0.5000
0.8382 0.3382 0.5000
0.3382 0.1618 0.5000
0.0000 0.0000 0.0000
0.5000 0.5000 0.0000
0.3862 0.8862 0.0000
0.8862 0.6138 0.0000
0.6138 0.1138 0.0000
0.1138 0.3862 0.0000
```

Calculated values
**Calculated volume**: 67.2 Å³/f.u.
**Magnetic moment**: 0.0 μB/f.u.

=====

Going by the energies, model two is most stable and the next is 85 meV/atom up.

=====

Model one:
A plane-wave DFT calculation with PBE was carried out for crystalline CaBe3Ru at its relaxed geometry.

```
CaBe3Ru
1.0
-2.7466 1.8866 -2.7164
0.3509 -3.3448 -2.6779
-3.2886 -1.9326 1.9830
Ru Ca Be
1 1 3
direct
0.0000 0.0000 0.0000
0.5000 0.5000 0.5000
0.0000 0.5000 0.0000
0.0000 0.0000 0.5000
0.5000 0.0000 0.0000
```

Calculated values
**Calculated volume**: 79.5 Å³/f.u.
**Magnetic moment**: 0.0 μB/f.u.

=====

Model two:
A plane-wave DFT calculation with PBE was carried out for crystalline CaBe3Ru at its relaxed geometry.

```
CaBe3Ru
1.0
4.3305 0.0000 0.0000
0.0000 4.3305 0.0000
0.0000 0.0000 4.3305
Ru Ca Be
1 1 3
direct
0.5000 0.5000 0.5000
0.0000 0.0000 0.0000
0.0000 0.5000 0.0000
0.0000 0.0000 0.5000
0.5000 0.0000 0.0000
```

Calculated values
**Calculated volume**: 81.2 Å³/f.u.
**Magnetic moment**: 0.0 μB/f.u.

=====

Going by the energies, model one is most stable and the next is 2421 meV/atom up.

=====

Model one:
A plane-wave DFT calculation with PBE was carried out for crystalline CaBeRu3 at its relaxed geometry.

```
CaBeRu3
1.0
-2.4604 -1.9315 3.4852
3.4674 -3.0559 0.7543
1.9631 2.9768 3.0357
Ru Ca Be
3 1 1
direct
0.0000 0.5000 0.0000
0.0000 0.0000 0.5000
0.5000 0.0000 0.0000
0.0000 0.0000 0.0000
0.5000 0.5000 0.5000
```

Calculated values
**Calculated volume**: 102.7 Å³/f.u.
**Magnetic moment**: 4.8 μB/f.u.

=====

Model two:
A plane-wave DFT calculation with PBE was carried out for crystalline CaBeRu3 at its relaxed geometry.

```
CaBeRu3
1.0
-0.4004 0.9364 4.1594
-1.4798 -3.9485 0.7464
3.9985 -1.3676 0.6928
Ru Ca Be
3 1 1
direct
0.0000 0.5000 0.0000
0.0000 0.0000 0.5000
0.5000 0.0000 0.0000
0.5000 0.5000 0.5000
0.0000 0.0000 0.0000
```

Calculated values
**Calculated volume**: 78.5 Å³/f.u.
**Magnetic moment**: 1.2 μB/f.u.

=====

Going by the energies, model two is most stable and the next is 2084 meV/atom up.

=====

Model one:
A plane-wave DFT calculation with PBE was carried out for crystalline CaBe2VRu at its relaxed geometry.

```
CaBe2VRu
1.0
-0.2499 -2.1175 3.7153
0.7671 -4.0782 -2.2727
4.2196 0.4823 0.5587
Ru Ca Be V
1 1 2 1
direct
0.5000 0.5000 0.5000
0.0000 0.5000 0.0000
0.0000 0.0000 0.5000
0.5000 0.0000 0.0000
0.0000 0.0000 0.0000
```

Calculated values
**Calculated volume**: 86.8 Å³/f.u.
**Magnetic moment**: 2.8 μB/f.u.

=====

Model two:
A plane-wave DFT calculation with PBE was carried out for crystalline CaBe2VRu at its relaxed geometry.

```
CaBe2VRu
1.0
-3.8576 1.0511 2.1624
1.4941 -1.9132 3.5953
1.8248 3.9418 1.3393
Ru Ca Be V
1 1 2 1
direct
0.0000 0.5000 0.0000
0.5000 0.5000 0.5000
0.0000 0.0000 0.5000
0.5000 0.0000 0.0000
0.0000 0.0000 0.0000
```

Calculated values
**Calculated volume**: 89.6 Å³/f.u.
**Magnetic moment**: 0.0 μB/f.u.

=====

Going by the energies, model two is most stable and the next is 951 meV/atom up.

=====

Model one:
A plane-wave DFT calculation with PBE was carried out for crystalline CaBe3S at its relaxed geometry.

```
CaBe3S
1.0
-3.2259 -4.1706 0.0837
1.0390 -0.7009 5.1222
-4.0400 3.1500 1.2506
Be Ca S
3 1 1
direct
0.0000 0.5000 0.0000
0.0000 0.0000 0.5000
0.5000 0.0000 0.0000
0.0000 0.0000 0.0000
0.5000 0.5000 0.5000
```

Calculated values
**Calculated volume**: 146.6 Å³/f.u.
**Magnetic moment**: 0.0 μB/f.u.

=====

Model two:
A plane-wave DFT calculation with PBE was carried out for crystalline CaBe3S at its relaxed geometry.

```
CaBe3S
1.0
-4.2571 -0.3799 0.7562
-0.1994 -3.3191 -2.7897
0.8224 -2.7709 3.2380
Be Ca S
3 1 1
direct
0.0000 0.5000 0.0000
0.0000 0.0000 0.5000
0.5000 0.0000 0.0000
0.5000 0.5000 0.5000
0.0000 0.0000 0.0000
```

Calculated values
**Calculated volume**: 81.8 Å³/f.u.
**Magnetic moment**: 0.0 μB/f.u.

=====

Going by the energies, model two is most stable and the next is 1495 meV/atom up.

=====

Model one:
A plane-wave DFT calculation with PBE was carried out for crystalline CaBeS3 at its relaxed geometry.

```
CaBeS3
1.0
4.4610 0.0000 0.0000
0.0000 4.4610 0.0000
0.0000 0.0000 4.4610
Be Ca S
1 1 3
direct
0.0000 0.0000 0.0000
0.5000 0.5000 0.5000
0.0000 0.5000 0.0000
0.0000 0.0000 0.5000
0.5000 0.0000 0.0000
```

Calculated values
**Calculated volume**: 88.8 Å³/f.u.
**Magnetic moment**: 0.0 μB/f.u.

=====

Model two:
A plane-wave DFT calculation with PBE was carried out for crystalline CaBeS3 at its relaxed geometry.

```
CaBeS3
1.0
5.2143 0.0000 0.0000
0.0000 5.2143 0.0000
0.0000 0.0000 5.2143
Be Ca S
1 1 3
direct
0.5000 0.5000 0.5000
0.0000 0.0000 0.0000
0.0000 0.5000 0.0000
0.0000 0.0000 0.5000
0.5000 0.0000 0.0000
```

Calculated values
**Calculated volume**: 141.8 Å³/f.u.
**Magnetic moment**: 2.2 μB/f.u.

=====

Going by the energies, model one is most stable and the next is 1347 meV/atom up.

=====

Model one:
A plane-wave DFT calculation with PBE was carried out for crystalline CaBeSb3 at its relaxed geometry.

```
CaBeSb3
1.0
-3.9119 -0.7692 -3.1384
-2.7684 -1.7437 3.8781
-1.6665 4.7024 0.9247
Sb Ca Be
3 1 1
direct
0.0000 0.5000 0.0000
0.0000 0.0000 0.5000
0.5000 0.0000 0.0000
0.5000 0.5000 0.5000
0.0000 0.0000 0.0000
```

Calculated values
**Calculated volume**: 130.6 Å³/f.u.
**Magnetic moment**: 0.0 μB/f.u.

=====

Model two:
A plane-wave DFT calculation with PBE was carried out for crystalline CaBeSb3 at its relaxed geometry.

```
CaBeSb3
1.0
-1.2293 -1.1059 5.4414
5.1134 -2.3980 0.6679
2.1646 5.0368 1.5127
Sb Ca Be
3 1 1
direct
0.0000 0.5000 0.0000
0.0000 0.0000 0.5000
0.5000 0.0000 0.0000
0.0000 0.0000 0.0000
0.5000 0.5000 0.5000
```

Calculated values
**Calculated volume**: 183.9 Å³/f.u.
**Magnetic moment**: 0.0 μB/f.u.

=====

Going by the energies, model one is most stable and the next is 1084 meV/atom up.

=====

Model one:
A plane-wave DFT calculation with PBE was carried out for crystalline CaBe3Sb at its relaxed geometry.

```
CaBe3Sb
1.0
-2.1240 2.6576 -3.6277
3.3480 -1.7440 -3.2378
-3.0023 -3.8250 -1.0442
Sb Ca Be
1 1 3
direct
0.5000 0.5000 0.5000
0.0000 0.0000 0.0000
0.0000 0.5000 0.0000
0.0000 0.0000 0.5000
0.5000 0.0000 0.0000
```

Calculated values
**Calculated volume**: 123.0 Å³/f.u.
**Magnetic moment**: 0.0 μB/f.u.

=====

Model two:
A plane-wave DFT calculation with PBE was carried out for crystalline CaBe3Sb at its relaxed geometry.

```
CaBe3Sb
1.0
-0.0646 4.0974 2.4025
-4.6638 -0.5098 0.7439
0.8995 -2.3486 4.0298
Sb Ca Be
1 1 3
direct
0.0000 0.0000 0.0000
0.5000 0.5000 0.5000
0.0000 0.5000 0.0000
0.0000 0.0000 0.5000
0.5000 0.0000 0.0000
```

Calculated values
**Calculated volume**: 107.2 Å³/f.u.
**Magnetic moment**: 0.0 μB/f.u.

=====

Going by the energies, model two is most stable and the next is 937 meV/atom up.

=====

Model one:
A plane-wave DFT calculation with PBE was carried out for crystalline CaBeSb2Te at its relaxed geometry.

```
CaBeSb2Te
1.0
4.8478 0.0000 0.0000
0.0000 4.8478 0.0000
0.0000 0.0000 5.7530
Sb Ca Te Be
2 1 1 1
direct
0.0000 0.5000 0.0000
0.5000 0.0000 0.0000
0.5000 0.5000 0.5000
0.0000 0.0000 0.5000
0.0000 0.0000 0.0000
```

Calculated values
**Calculated volume**: 135.2 Å³/f.u.
**Magnetic moment**: 0.0 μB/f.u.

=====

Model two:
A plane-wave DFT calculation with PBE was carried out for crystalline CaBeSb2Te at its relaxed geometry.

```
CaBeSb2Te
1.0
-5.4387 1.0839 -1.6401
-1.1668 -5.6627 0.1270
-1.5536 0.4422 5.4441
Sb Ca Te Be
2 1 1 1
direct
0.0000 0.5000 0.0000
0.5000 0.0000 0.0000
0.0000 0.0000 0.0000
0.0000 0.0000 0.5000
0.5000 0.5000 0.5000
```

Calculated values
**Calculated volume**: 189.9 Å³/f.u.
**Magnetic moment**: 0.0 μB/f.u.

=====

Going by the energies, model one is most stable and the next is 1046 meV/atom up.

=====

Model one:
A plane-wave DFT calculation with PBE was carried out for crystalline CaScBe at its relaxed geometry.

```
CaScBe
1.0
-3.2014 1.9951 2.6723
-1.0894 -3.7097 -2.5341
1.0225 -2.3205 2.9575
Sc Be Ca
1 1 1
direct
0.3333 0.6667 0.8015
0.0000 0.0000 0.8842
0.6667 0.3333 0.3143
```

Calculated values
**Calculated volume**: 72.1 Å³/f.u.
**Magnetic moment**: 0.0 μB/f.u.

=====

Model two:
A plane-wave DFT calculation with PBE was carried out for crystalline CaScBe at its relaxed geometry.

```
CaScBe
1.0
-4.4994 -0.5704 -1.3481
-1.6999 -4.3441 -0.7914
-3.1434 -1.8911 2.9883
Sc Be Ca
1 1 1
direct
0.5000 0.5000 0.5000
0.2500 0.2500 0.2500
0.0000 0.0000 0.0000
```

Calculated values
**Calculated volume**: 74.9 Å³/f.u.
**Magnetic moment**: 0.0 μB/f.u.

=====

Going by the energies, model one is most stable and the next is 13 meV/atom up.